# 1
DFT (PBE-GGA) results for an optimized crystal structure of ZrHg2Cl.

Computed properties:
ΔE_f (raw), eV per atom: -0.14
Total energy, Ha/atom: -0.1063
SG: No. 122

abc: 9.5869 9.5869 7.2294
angles: 48.47 48.47 90.00
Last column: nearest neighbours and their distance in Å.
Atoms (fractional coordinates):
Hg 0.7113 0.1250 0.2500  2 Zr 2.93, 2 Hg 3.01
Hg 0.0387 0.6250 0.2500  2 Zr 2.93, 2 Hg 3.01
Zr 0.0000 0.0000 0.0000  2 Cl 2.51
Cl 0.2500 0.7500 0.5000  2 Zr 2.51
Hg 0.3750 0.2887 0.7500  2 Zr 2.93, 2 Hg 3.01
Hg 0.8750 0.9613 0.7500  2 Zr 2.93, 2 Hg 3.01
Zr 0.7500 0.2500 0.5000  2 Cl 2.51
Cl 0.5000 0.5000 0.0000  2 Zr 2.51

***

# 2
DFT (PBE-GGA) results for an optimized crystal structure of LiCa4Ag.

Computed properties:
Total energy, Ha/atom: -0.0637
Formation energy, eV per atom: 0.39
SG: No. 216

abc: 6.8935 6.8935 6.8935
angles: 60.00 60.00 60.00
Last column: nearest neighbours and their distance in Å.
Atoms (fractional coordinates):
Ca 0.3748 0.3748 0.3748  6 Ca 3.44-3.45
Ca 0.8756 0.3748 0.3748  6 Ca 3.44-3.45
Li 0.7500 0.7500 0.7500  12 Ca 4.04, 4 Ag 4.22
Ag 0.0000 0.0000 0.0000  12 Ca 4.04, 4 Li 4.22
Ca 0.3748 0.3748 0.8756  6 Ca 3.44-3.45
Ca 0.3748 0.8756 0.3748  6 Ca 3.44-3.45

***

Q: Which of these has the highest total energy?
A: LiCa4Ag

***

Q: What is the total energy in the first record?
A: -0.1063 Ha/atom